[1]
Below is a crystal of ZrMn2Br relaxed with PBEsol, with properties calculated at the SCAN level.

Values from the calculation:
D(E_F): 0.6208 states/eV per atom
DFT total energy: -87.18 eV for the cell shown
E_form (uncorrected): -0.128 eV/atom
M_tot: 6.9 μB/f.u.

abc: 8.469 8.469 8.469
angles: 21.92 21.92 21.92
Fractional coordinates of all 4 atoms:
Zr 0.000 0.000 0.000
Mn 0.248 0.248 0.248
Mn 0.752 0.752 0.752
Br 0.500 0.500 0.500

=====

[2]
Below is a crystal of SrAlHg2 relaxed with PBEsol, with properties calculated at the SCAN level.

Values from the calculation:
D(E_F): 0.4288 states/eV per atom
DFT total energy: -168.37 eV for the cell shown
M_tot: 0.0 μB/f.u.
DFT formation energy: -2.0 eV per formula unit

abc: 6.299 6.299 6.299
angles: 42.34 42.34 42.34
Fractional coordinates of all 4 atoms:
Sr 0.000 0.000 0.000
Al 0.500 0.500 0.500
Hg 0.219 0.219 0.219
Hg 0.781 0.781 0.781

=====

[3]
Below is a crystal of Ba4TiNb9O18 relaxed with PBEsol, with properties calculated at the SCAN level.

Values from the calculation:
D(E_F): 0.1393 states/eV per atom
DFT total energy: -673.31 eV for the cell shown
E_form (uncorrected): -2.773 eV/atom
M_tot: 0.0 μB/f.u.

abc: 4.168 4.168 24.437
angles: 90.00 90.00 90.00
Fractional coordinates of all 32 atoms:
Ba 0.000 0.000 0.078
Ba 0.000 0.000 0.415
Ba 0.000 0.000 0.585
Ba 0.000 0.000 0.922
Ti 0.500 0.500 0.000
Nb 0.000 0.500 0.248
Nb 0.000 0.500 0.752
Nb 0.500 0.000 0.248
Nb 0.500 0.000 0.752
Nb 0.500 0.500 0.165
Nb 0.500 0.500 0.331
Nb 0.500 0.500 0.500
Nb 0.500 0.500 0.669
Nb 0.500 0.500 0.835
O 0.000 0.000 0.249
O 0.000 0.000 0.751
O 0.000 0.500 0.000
O 0.000 0.500 0.162
O 0.000 0.500 0.335
O 0.000 0.500 0.500
O 0.000 0.500 0.665
O 0.000 0.500 0.838
O 0.500 0.000 0.000
O 0.500 0.000 0.162
O 0.500 0.000 0.335
O 0.500 0.000 0.500
O 0.500 0.000 0.665
O 0.500 0.000 0.838
O 0.500 0.500 0.079
O 0.500 0.500 0.418
O 0.500 0.500 0.582
O 0.500 0.500 0.921

=====

[4]
Below is a crystal of CdSnGe3 relaxed with PBEsol, with properties calculated at the SCAN level.

Values from the calculation:
D(E_F): 0.5624 states/eV per atom
DFT total energy: -119.23 eV for the cell shown
M_tot: 0.0 μB/f.u.
DFT formation energy: 4.4 eV per formula unit

abc: 5.061 5.061 5.061
angles: 90.00 90.00 90.00
Fractional coordinates of all 5 atoms:
Cd 0.000 0.000 0.000
Sn 0.500 0.500 0.500
Ge 0.000 0.000 0.500
Ge 0.000 0.500 0.000
Ge 0.500 0.000 0.000

=====

[5]
Below is a crystal of SbPb2Se relaxed with PBEsol, with properties calculated at the SCAN level.

Values from the calculation:
D(E_F): 0.4786 states/eV per atom
DFT total energy: -208.95 eV for the cell shown
E_form (uncorrected): -0.013 eV/atom
M_tot: 0.0 μB/f.u.

abc: 6.243 6.243 6.243
angles: 145.64 128.46 63.42
Fractional coordinates of all 4 atoms:
Sb 0.000 0.000 0.000
Pb 0.457 0.457 0.000
Pb 0.741 0.241 0.500
Se 0.226 0.726 0.500

=====

[6]
Below is a crystal of La2Ni relaxed with PBEsol, with properties calculated at the SCAN level.

Values from the calculation:
D(E_F): 1.0714 states/eV per atom
DFT total energy: -102.75 eV for the cell shown
M_tot: 0.0 μB/f.u.
DFT formation energy: -0.4 eV per formula unit

abc: 3.914 3.914 6.458
angles: 90.00 90.00 120.00
Fractional coordinates of all 3 atoms:
La 0.333 0.667 0.249
La 0.667 0.333 0.751
Ni 0.000 0.000 0.500

=====

[7]
Below is a crystal of SmAl20V2 relaxed with PBEsol, with properties calculated at the SCAN level.

Values from the calculation:
D(E_F): 0.3445 states/eV per atom
DFT total energy: -478.81 eV for the cell shown
M_tot: 0.0 μB/f.u.
DFT formation energy: -4.9 eV per formula unit

abc: 10.204 10.204 10.204
angles: 60.00 60.00 60.00
Fractional coordinates of all 46 atoms:
Sm 0.125 0.125 0.125
Sm 0.875 0.875 0.875
Al 0.000 0.000 0.000
Al 0.000 0.000 0.500
Al 0.000 0.500 0.000
Al 0.057 0.326 0.326
Al 0.057 0.326 0.792
Al 0.057 0.792 0.326
Al 0.208 0.674 0.674
Al 0.208 0.674 0.943
Al 0.208 0.943 0.674
Al 0.237 0.237 0.513
Al 0.237 0.513 0.237
Al 0.237 0.513 0.513
Al 0.326 0.057 0.326
Al 0.326 0.057 0.792
Al 0.326 0.326 0.057
Al 0.326 0.326 0.792
Al 0.326 0.792 0.057
Al 0.326 0.792 0.326
Al 0.487 0.487 0.763
Al 0.487 0.763 0.487
Al 0.487 0.763 0.763
Al 0.500 0.000 0.000
Al 0.513 0.237 0.237
Al 0.513 0.237 0.513
Al 0.513 0.513 0.237
Al 0.674 0.208 0.674
Al 0.674 0.208 0.943
Al 0.674 0.674 0.208
Al 0.674 0.674 0.943
Al 0.674 0.943 0.208
Al 0.674 0.943 0.674
Al 0.763 0.487 0.487
Al 0.763 0.487 0.763
Al 0.763 0.763 0.487
Al 0.792 0.057 0.326
Al 0.792 0.326 0.057
Al 0.792 0.326 0.326
Al 0.943 0.208 0.674
Al 0.943 0.674 0.208
Al 0.943 0.674 0.674
V 0.000 0.500 0.500
V 0.500 0.000 0.500
V 0.500 0.500 0.000
V 0.500 0.500 0.500

=====

[8]
Below is a crystal of As3Br relaxed with PBEsol, with properties calculated at the SCAN level.

Values from the calculation:
D(E_F): 0.5930 states/eV per atom
DFT total energy: -157.54 eV for the cell shown
E_form (uncorrected): 0.316 eV/atom
M_tot: 0.0 μB/f.u.

abc: 13.532 13.532 13.532
angles: 163.80 163.80 22.99
Fractional coordinates of all 8 atoms:
As 0.000 0.500 0.500
As 0.073 0.073 0.000
As 0.250 0.750 0.500
As 0.500 0.000 0.500
As 0.750 0.250 0.500
As 0.927 0.927 0.000
Br 0.381 0.381 0.000
Br 0.619 0.619 0.000

=====

[9]
Below is a crystal of CrCuOs2 relaxed with PBEsol, with properties calculated at the SCAN level.

Values from the calculation:
D(E_F): 0.6759 states/eV per atom
DFT total energy: -176.48 eV for the cell shown
M_tot: 0.0 μB/f.u.
DFT formation energy: 0.9 eV per formula unit

abc: 4.530 4.530 4.591
angles: 100.98 100.98 34.13
Fractional coordinates of all 4 atoms:
Cr 0.000 0.000 0.000
Cu 0.500 0.500 0.500
Os 0.263 0.263 0.760
Os 0.737 0.737 0.240

=====

[10]
Below is a crystal of LiScAu relaxed with PBEsol, with properties calculated at the SCAN level.

Values from the calculation:
D(E_F): 1.3471 states/eV per atom
DFT total energy: -86.72 eV for the cell shown
M_tot: 0.0 μB/f.u.
DFT formation energy: -0.9 eV per formula unit

abc: 4.249 4.249 4.249
angles: 60.00 60.00 60.00
Fractional coordinates of all 3 atoms:
Li 0.000 0.000 0.000
Sc 0.250 0.250 0.250
Au 0.750 0.750 0.750

=====

[11]
Below is a crystal of LiTe2Cl relaxed with PBEsol, with properties calculated at the SCAN level.

Values from the calculation:
D(E_F): 0.7333 states/eV per atom
DFT total energy: -85.97 eV for the cell shown
E_form (uncorrected): -0.274 eV/atom
M_tot: 0.0 μB/f.u.

abc: 5.172 5.172 5.172
angles: 60.00 60.00 60.00
Fractional coordinates of all 4 atoms:
Li 0.000 0.000 0.000
Te 0.250 0.250 0.250
Te 0.500 0.500 0.500
Cl 0.750 0.750 0.750

=====

[12]
Below is a crystal of TlRu2Se2 relaxed with PBEsol, with properties calculated at the SCAN level.

Values from the calculation:
D(E_F): 0.2229 states/eV per atom
DFT total energy: -183.20 eV for the cell shown
E_form (uncorrected): -0.207 eV/atom
M_tot: 0.0 μB/f.u.

abc: 6.916 6.916 6.916
angles: 146.11 146.11 48.69
Fractional coordinates of all 5 atoms:
Tl 0.000 0.000 0.000
Ru 0.250 0.750 0.500
Ru 0.750 0.250 0.500
Se 0.355 0.355 0.000
Se 0.645 0.645 0.000